# PrHo2Sc3, relaxed, DFT PBE-GGA
# DOS(E_F), states/eV/cell: 19.211
# Uncorrected energy, eV per atom: -5.41
# V, Å³ per cell: 342
data_PrHo2Sc3
_chemical_formula_sum 'Pr2 Ho4 Sc6'
_symmetry_space_group_name_H-M 'P 1 21/m 1'
_symmetry_Int_Tables_number 11
_cell_length_a 5.972
_cell_length_b 3.458
_cell_length_c 16.665
_cell_angle_alpha 90.00
_cell_angle_beta 96.84
_cell_angle_gamma 90.00
loop_
_symmetry_equiv_pos_as_xyz
'x,y,z'
'-x,-y,-z'
'-x,y+1/2,-z'
'x,-y+1/2,z'
loop_
_atom_site_label
_atom_site_type_symbol
_atom_site_fract_x
_atom_site_fract_y
_atom_site_fract_z
_atom_site_occupancy
Pr1 Pr 0.028 0.250 0.332 1
Ho1 Ho 0.250 0.250 0.000 1
Ho2 Ho 0.474 0.250 0.668 1
Sc1 Sc 0.139 0.750 0.164 1
Sc2 Sc 0.254 0.750 0.501 1
Sc3 Sc 0.363 0.750 0.835 1